Computed, not measured: a relaxed structure of GdScGaCu at the GGA-PBE level of DFT.

extended XYZ file:
```
4
Lattice="0.000 3.453 3.453 3.453 0.000 3.453 3.453 3.453 0.000" Properties=species:S:1:pos:R:3 pbc="T T T"
Gd 0.000 0.000 0.000
Sc 3.453 3.453 3.453
Ga 1.726 1.726 1.726
Cu 5.179 5.179 5.179
```

Values from the calculation:
Symmetry: F-43m, No. 216
Final energy in eV per atom: -7.29
Energy of formation in kJ/mol of formula units: -157.0